Entry 1:
VASP calculation (GGA-PBE) on crystalline MgScNiAg at its relaxed geometry.

Computed properties:
**ΔE_f**: -0.264 eV per atom
**SG**: No. 216

Cell lengths 4.605, 4.605, 4.605 Å; angles 60.00, 60.00, 60.00 degrees
Fractional coordinates of all 4 atoms:
Mg (0.000, 0.000, 0.000)
Sc (0.500, 0.500, 0.500)
Ni (0.750, 0.750, 0.750)
Ag (0.250, 0.250, 0.250)

---

Entry 2:
VASP calculation (GGA-PBE) on crystalline Ac3Pm3PuTe8 at its relaxed geometry.

Computed properties:
**Raw formation energy**: -1.43 eV per atom
**SG**: No. 166

Cell lengths 9.238, 9.238, 9.238 Å; angles 58.92, 58.92, 58.92 degrees
Fractional coordinates of all 15 atoms:
Ac (0.000, 0.500, 0.500)
Ac (0.500, 0.000, 0.500)
Ac (0.500, 0.500, 0.000)
Pm (0.000, 0.000, 0.500)
Pm (0.000, 0.500, 0.000)
Pm (0.500, 0.000, 0.000)
Pu (0.500, 0.500, 0.500)
Te (0.240, 0.749, 0.749)
Te (0.244, 0.244, 0.244)
Te (0.251, 0.251, 0.760)
Te (0.251, 0.760, 0.251)
Te (0.749, 0.240, 0.749)
Te (0.749, 0.749, 0.240)
Te (0.756, 0.756, 0.756)
Te (0.760, 0.251, 0.251)

---

Entry 3:
VASP calculation (GGA-PBE) on crystalline NpPa2Zn at its relaxed geometry.

Computed properties:
**ΔE_f**: 0.430 eV per atom
**SG**: No. 166

Cell lengths 11.850, 11.850, 11.850 Å; angles 14.72, 14.72, 14.72 degrees
Fractional coordinates of all 4 atoms:
Np (0.000, 0.000, 0.000)
Pa (0.413, 0.413, 0.413)
Pa (0.587, 0.587, 0.587)
Zn (0.500, 0.500, 0.500)

---

What calculated volume values result from the calculations? In sequence: 17.3; 36.2; 23.4 Å³ per atom.
What calculated density values result from the calculations? In sequence: 5.672; 7.272; 13.563 g/cm³.